## Nd3HoHg4 (PBE)

Data for an optimized crystal structure of Nd3HoHg4.

Output
* energy above the most stable polymorph in this dataset: 0 meV per atom
* DFT total energy: -2.9833 eV per atom
* space-group type: P4/mmm (123)
* magnetic moment: 1.6 μB/f.u.
* energy relative to the elements: -10.9 kcal/mol of atoms

abc: 3.786 3.786 15.378
angles: 90.00 90.00 90.00
Fractional coordinates of all 8 atoms:
Nd (0.000, 0.000, 0.000)
Nd (0.000, 0.000, 0.255)
Nd (0.000, 0.000, 0.745)
Ho (0.000, 0.000, 0.500)
Hg (0.500, 0.500, 0.126)
Hg (0.500, 0.500, 0.386)
Hg (0.500, 0.500, 0.614)
Hg (0.500, 0.500, 0.874)